# 1
A plane-wave DFT calculation with PBE was carried out for an optimized crystal structure of TmNiBi.

Calculated values
Raw total energy (eV per atom): -4.714

Cell lengths 8.2157, 8.2157, 3.4940 Å; angles 90.00, 90.00, 120.00 degrees
Space group P-62m (No. 189)
Symmetry-distinct sites (fractional):
Tm (0.0000, 0.2940, 0.0000) [3 per cell]
Ni (0.0000, 0.6632, 0.5000) [3 per cell]
Bi (0.0000, 0.0000, 0.5000) [1 per cell]
Bi (0.3333, 0.6667, 0.0000) [2 per cell]

# 2
A plane-wave DFT calculation with PBE was carried out for an optimized crystal structure of TmNiBi.

Calculated values
Raw total energy (eV per atom): -5.200

Cell lengths 7.3231, 7.3231, 4.1148 Å; angles 90.00, 90.00, 120.00 degrees
Space group P-62m (No. 189)
Symmetry-distinct sites (fractional):
Tm (0.0000, 0.6097, 0.0000) [3 per cell]
Ni (0.0000, 0.0000, 0.0000) [1 per cell]
Ni (0.3333, 0.6667, 0.5000) [2 per cell]
Bi (0.0000, 0.2755, 0.5000) [3 per cell]

# 3
A plane-wave DFT calculation with PBE was carried out for an optimized crystal structure of Tm12Ni6Bi.

Calculated values
Raw total energy (eV per atom): -5.228

Cell lengths 9.5984, 9.5984, 9.5984 Å; angles 90.00, 90.00, 90.00 degrees
Space group Im-3 (No. 204)
Symmetry-distinct sites (fractional):
Tm (0.0000, 0.3061, 0.1888) [24 per cell]
Ni (0.0000, 0.1242, 0.5000) [12 per cell]
Bi (0.0000, 0.0000, 0.0000) [2 per cell]

# 4
A plane-wave DFT calculation with PBE was carried out for an optimized crystal structure of TmNiBi.

Calculated values
Raw total energy (eV per atom): -5.107

Cell lengths 7.1054, 7.1054, 4.3927 Å; angles 90.00, 90.00, 120.00 degrees
Space group P-62m (No. 189)
Symmetry-distinct sites (fractional):
Tm (0.0000, 0.5671, 0.0000) [3 per cell]
Ni (0.0000, 0.2462, 0.5000) [3 per cell]
Bi (0.0000, 0.0000, 0.0000) [1 per cell]
Bi (0.3333, 0.6667, 0.5000) [2 per cell]

# 5
A plane-wave DFT calculation with PBE was carried out for an optimized crystal structure of Tm3Zr3NiBi2.

Calculated values
E above lowest polymorph (eV/atom): 0.000

Cell lengths 8.0172, 8.0172, 3.9986 Å; angles 90.00, 90.00, 120.00 degrees
Space group P-62m (No. 189)
Symmetry-distinct sites (fractional):
Tm (0.0000, 0.3906, 0.0000) [3 per cell]
Zr (0.0000, 0.7750, 0.5000) [3 per cell]
Ni (0.0000, 0.0000, 0.0000) [1 per cell]
Bi (0.3333, 0.6667, 0.5000) [2 per cell]

# 6
A plane-wave DFT calculation with PBE was carried out for an optimized crystal structure of Tm3Zr3NiBi2.

Calculated values
E above lowest polymorph (eV/atom): 0.079

Cell lengths 8.1824, 8.1824, 3.7385 Å; angles 90.00, 90.00, 120.00 degrees
Space group P-62m (No. 189)
Symmetry-distinct sites (fractional):
Tm (0.0000, 0.7572, 0.0000) [3 per cell]
Zr (0.0000, 0.3994, 0.5000) [3 per cell]
Ni (0.0000, 0.0000, 0.5000) [1 per cell]
Bi (0.3333, 0.6667, 0.0000) [2 per cell]

# 7
A plane-wave DFT calculation with PBE was carried out for an optimized crystal structure of Ni2BiW.

Calculated values
Raw total energy (eV per atom): -6.349

Cell lengths 6.3167, 6.3167, 6.3167 Å; angles 90.00, 90.00, 90.00 degrees
Space group F-43m (No. 216)
Symmetry-distinct sites (fractional):
Ni (0.0000, 0.0000, 0.0000) [4 per cell]
Ni (0.2500, 0.2500, 0.2500) [4 per cell]
Bi (0.0000, 0.0000, 0.5000) [4 per cell]
W (0.2500, 0.2500, 0.7500) [4 per cell]

# 8
A plane-wave DFT calculation with PBE was carried out for an optimized crystal structure of Y2Ni2Bi.

Calculated values
Raw total energy (eV per atom): -5.836

Cell lengths 4.6590, 4.6590, 10.3789 Å; angles 90.00, 90.00, 90.00 degrees
Space group I4/mmm (No. 139)
Symmetry-distinct sites (fractional):
Y (0.0000, 0.5000, 0.2500) [4 per cell]
Ni (0.0000, 0.0000, 0.1080) [4 per cell]
Bi (0.0000, 0.0000, 0.5000) [2 per cell]

# 9
A plane-wave DFT calculation with PBE was carried out for an optimized crystal structure of YNiBi2.

Calculated values
Raw total energy (eV per atom): -5.019

Cell lengths 7.4083, 7.4083, 7.4083 Å; angles 90.00, 90.00, 90.00 degrees
Space group F-43m (No. 216)
Symmetry-distinct sites (fractional):
Y (0.0000, 0.0000, 0.0000) [4 per cell]
Ni (0.2500, 0.2500, 0.7500) [4 per cell]
Bi (0.0000, 0.0000, 0.5000) [4 per cell]
Bi (0.2500, 0.2500, 0.2500) [4 per cell]

# 10
A plane-wave DFT calculation with PBE was carried out for an optimized crystal structure of Y2NiBi.

Calculated values
Raw total energy (eV per atom): -5.529

Cell lengths 7.2739, 7.2739, 7.2739 Å; angles 90.00, 90.00, 90.00 degrees
Space group F-43m (No. 216)
Symmetry-distinct sites (fractional):
Y (0.0000, 0.0000, 0.0000) [4 per cell]
Y (0.2500, 0.2500, 0.2500) [4 per cell]
Ni (0.2500, 0.2500, 0.7500) [4 per cell]
Bi (0.0000, 0.0000, 0.5000) [4 per cell]

# 11
A plane-wave DFT calculation with PBE was carried out for an optimized crystal structure of YNi2Bi2.

Calculated values
Raw total energy (eV per atom): -5.306

Cell lengths 4.4136, 4.4136, 11.3504 Å; angles 90.00, 90.00, 90.00 degrees
Space group I4/mmm (No. 139)
Symmetry-distinct sites (fractional):
Y (0.0000, 0.0000, 0.0000) [2 per cell]
Ni (0.0000, 0.5000, 0.2500) [4 per cell]
Bi (0.0000, 0.0000, 0.3664) [4 per cell]

# 12
A plane-wave DFT calculation with PBE was carried out for an optimized crystal structure of ZnNiBi2.

Calculated values
Raw total energy (eV per atom): -3.277

Cell lengths 7.1695, 7.1695, 7.1695 Å; angles 90.00, 90.00, 90.00 degrees
Space group F-43m (No. 216)
Symmetry-distinct sites (fractional):
Zn (0.0000, 0.0000, 0.0000) [4 per cell]
Ni (0.2500, 0.2500, 0.7500) [4 per cell]
Bi (0.0000, 0.0000, 0.5000) [4 per cell]
Bi (0.2500, 0.2500, 0.2500) [4 per cell]

# 13
A plane-wave DFT calculation with PBE was carried out for an optimized crystal structure of ZrNiBi2.

Calculated values
Raw total energy (eV per atom): -5.237

Cell lengths 7.2065, 7.2065, 7.2065 Å; angles 90.00, 90.00, 90.00 degrees
Space group F-43m (No. 216)
Symmetry-distinct sites (fractional):
Zr (0.0000, 0.0000, 0.0000) [4 per cell]
Ni (0.2500, 0.2500, 0.7500) [4 per cell]
Bi (0.0000, 0.0000, 0.5000) [4 per cell]
Bi (0.2500, 0.2500, 0.2500) [4 per cell]

# 14
A plane-wave DFT calculation with PBE was carried out for an optimized crystal structure of ZrNiBi.

Calculated values
Raw total energy (eV per atom): -6.449

Cell lengths 3.3475, 20.2599, 4.0062 Å; angles 90.00, 90.00, 90.00 degrees
Space group Cmcm (No. 63)
Symmetry-distinct sites (fractional):
Zr (0.0000, 0.0710, 0.2500) [4 per cell]
Ni (0.0000, 0.4649, 0.2500) [4 per cell]
Bi (0.0000, 0.3291, 0.2500) [4 per cell]

# 15
A plane-wave DFT calculation with PBE was carried out for an optimized crystal structure of Zr3Ni4Bi4.

Calculated values
Raw total energy (eV per atom): -6.097

Cell lengths 6.8912, 4.2308, 7.5382 Å; angles 90.00, 92.78, 90.00 degrees
Space group Pm (No. 6)
Symmetry-distinct sites (fractional):
Zr (0.0000, 0.0000, 0.0000) [1 per cell]
Zr (0.0344, 0.5000, 0.4113) [1 per cell]
Zr (0.5396, 0.0000, 0.9511) [1 per cell]
Ni (0.1268, 0.5000, 0.7741) [1 per cell]
Ni (0.2913, 0.0000, 0.2858) [1 per cell]
Ni (0.7717, 0.5000, 0.1213) [1 per cell]
Ni (0.9160, 0.0000, 0.6443) [1 per cell]
Bi (0.2961, 0.0000, 0.6225) [1 per cell]
Bi (0.3018, 0.5000, 0.1015) [1 per cell]
Bi (0.7055, 0.0000, 0.3315) [1 per cell]
Bi (0.7401, 0.5000, 0.7560) [1 per cell]

# 16
A plane-wave DFT calculation with PBE was carried out for an optimized crystal structure of Zr6NiBi2.

Calculated values
Raw total energy (eV per atom): -7.595

Cell lengths 7.9213, 7.9213, 3.7082 Å; angles 90.00, 90.00, 120.00 degrees
Space group P-62m (No. 189)
Symmetry-distinct sites (fractional):
Zr (0.0000, 0.2371, 0.0000) [3 per cell]
Zr (0.0000, 0.6065, 0.5000) [3 per cell]
Ni (0.0000, 0.0000, 0.5000) [1 per cell]
Bi (0.3333, 0.6667, 0.0000) [2 per cell]

# 17
A plane-wave DFT calculation with PBE was carried out for an optimized crystal structure of ZrNiBi.

Calculated values
Raw total energy (eV per atom): -6.243

Cell lengths 6.5710, 6.5710, 4.7090 Å; angles 90.00, 90.00, 120.00 degrees
Space group P-62m (No. 189)
Symmetry-distinct sites (fractional):
Zr (0.0000, 0.5116, 0.0000) [3 per cell]
Ni (0.0000, 0.2298, 0.5000) [3 per cell]
Bi (0.0000, 0.0000, 0.0000) [1 per cell]
Bi (0.3333, 0.6667, 0.5000) [2 per cell]

# 18
A plane-wave DFT calculation with PBE was carried out for an optimized crystal structure of Zr3Ni2Bi2.

Calculated values
Raw total energy (eV per atom): -6.433

Cell lengths 4.7986, 4.7986, 24.4665 Å; angles 90.00, 90.00, 120.00 degrees
Space group R3m (No. 160, hexagonal axes)
Symmetry-distinct sites (fractional):
Zr (0.0000, 0.0000, 0.0000) [3 per cell]
Zr (0.0000, 0.0000, 0.2387) [3 per cell]
Zr (0.0000, 0.0000, 0.7418) [3 per cell]
Ni (0.0000, 0.0000, 0.3483) [3 per cell]
Ni (0.0000, 0.0000, 0.8913) [3 per cell]
Bi (0.0000, 0.0000, 0.1213) [3 per cell]
Bi (0.0000, 0.0000, 0.6134) [3 per cell]

# 19
A plane-wave DFT calculation with PBE was carried out for an optimized crystal structure of Zr2NiBi2.

Calculated values
E above lowest polymorph (eV/atom): 0.005

Cell lengths 4.2972, 4.2972, 13.5033 Å; angles 90.00, 90.00, 90.00 degrees
Space group I4/mmm (No. 139)
Symmetry-distinct sites (fractional):
Zr (0.0000, 0.0000, 0.0922) [4 per cell]
Ni (0.0000, 0.0000, 0.5000) [2 per cell]
Bi (0.0000, 0.5000, 0.2500) [4 per cell]

# 20
A plane-wave DFT calculation with PBE was carried out for an optimized crystal structure of ZrNiBi.

Calculated values
Raw total energy (eV per atom): -6.381

Cell lengths 6.2980, 6.2980, 6.2980 Å; angles 90.00, 90.00, 90.00 degrees
Space group F-43m (No. 216)
Symmetry-distinct sites (fractional):
Zr (0.0000, 0.0000, 0.0000) [4 per cell]
Ni (0.2500, 0.2500, 0.2500) [4 per cell]
Bi (0.0000, 0.0000, 0.5000) [4 per cell]